# 1
## Ba6Na5Li (PBE-GGA)

Data for a relaxed Ba6Na5Li crystal.

D(E_F) ... 15.18 states/eV/cell
Crystal system ... monoclinic

The structure in extended XYZ format:
```
12
Lattice="6.5279 0.0000 0.0000 0.0000 9.4452 0.0000 -3.2767 0.0000 9.7710" Properties=species:S:1:pos:R:3 pbc="T T T"
Ba 0.0000 2.2691 0.0000
Ba 0.0000 7.1762 0.0000
Ba -0.0059 2.3103 6.6086
Ba -0.0059 7.1350 6.6086
Ba 3.2570 2.3103 3.1623
Ba 3.2570 7.1350 3.1623
Na -0.0059 4.7226 3.2902
Na -0.0080 0.0000 3.3184
Na 3.2639 4.7226 0.0000
Na 3.2592 0.0000 6.4525
Na 3.2571 4.7226 6.4808
Li 3.2639 0.0000 0.0000
```

# 2
## Ba2NaLi (PBE-GGA)

Data for a relaxed Ba2NaLi crystal.

D(E_F) ... 9.93 states/eV/cell
Crystal system ... orthorhombic
Distance to the lowest polymorph of the same formula ... 1.151 eV per atom

The structure in extended XYZ format:
```
8
Lattice="14.9166 0.0000 0.0000 0.0000 15.7022 0.0000 0.0000 0.0000 21.1879" Properties=species:S:1:pos:R:3 pbc="T T T"
Ba 0.0000 3.8210 0.0000
Ba 0.0000 11.8812 0.0000
Ba 7.4583 4.0301 10.5939
Ba 7.4583 11.6721 10.5939
Na 0.0000 7.8511 0.0000
Na 7.4583 0.0000 10.5939
Li 0.0000 0.0000 0.0000
Li 7.4583 7.8511 10.5939
```

# 3
## Ba6Na2Li (PBE-GGA)

Data for a relaxed Ba6Na2Li crystal.

D(E_F) ... 26.29 states/eV/cell
Crystal system ... tetragonal

The structure in extended XYZ format:
```
18
Lattice="12.3947 0.0000 0.0000 0.0000 12.3947 0.0000 0.0000 0.0000 6.3236" Properties=species:S:1:pos:R:3 pbc="T T T"
Ba 0.3362 3.8715 0.0000
Ba 1.4909 10.9037 3.1618
Ba 2.3259 6.5335 3.1618
Ba 3.8715 0.3362 0.0000
Ba 4.7064 4.7064 0.0000
Ba 5.8612 10.0688 3.1618
Ba 6.5335 2.3259 3.1618
Ba 7.6883 7.6883 0.0000
Ba 8.5232 12.0585 0.0000
Ba 10.0688 5.8612 3.1618
Ba 10.9037 1.4909 3.1618
Ba 12.0585 8.5232 0.0000
Na 2.5068 2.5068 3.1618
Na 3.6906 8.7041 0.0000
Na 8.7041 3.6906 0.0000
Na 9.8879 9.8879 3.1618
Li 0.0000 0.0000 0.0000
Li 6.1973 6.1973 3.1618
```

# 4
## BaNa14Li (PBE-GGA)

Data for a relaxed BaNa14Li crystal.

D(E_F) ... 7.81 states/eV/cell
Crystal system ... tetragonal

The structure in extended XYZ format:
```
16
Lattice="8.7067 0.0000 0.0000 0.0000 8.7067 0.0000 0.0000 0.0000 8.0048" Properties=species:S:1:pos:R:3 pbc="T T T"
Ba 0.0000 0.0000 0.0000
Na 0.0000 0.0000 4.0024
Na 0.0000 4.3533 0.0000
Na 0.0000 4.3533 4.0024
Na 2.3661 2.3661 2.0185
Na 2.3661 2.3661 5.9864
Na 2.3661 6.3406 2.0185
Na 2.3661 6.3406 5.9864
Na 4.3533 0.0000 0.0000
Na 4.3533 0.0000 4.0024
Na 4.3533 4.3533 4.0024
Na 6.3406 2.3661 2.0185
Na 6.3406 2.3661 5.9864
Na 6.3406 6.3406 2.0185
Na 6.3406 6.3406 5.9864
Li 4.3533 4.3533 0.0000
```

# 5
## Ba6NaLi2 (PBE-GGA)

Data for a relaxed Ba6NaLi2 crystal.

D(E_F) ... 9.91 states/eV/cell
Crystal system ... monoclinic

The structure in extended XYZ format:
```
9
Lattice="9.5435 -2.3177 0.0000 9.5435 2.3177 0.0000 -8.0869 0.0000 10.6397" Properties=species:S:1:pos:R:3 pbc="T T T"
Ba -0.9159 0.0000 1.9702
Ba -1.7755 0.0000 9.4667
Ba 2.4712 0.0000 4.8745
Ba 8.5289 0.0000 5.7653
Ba 12.7757 0.0000 1.1730
Ba 11.9160 0.0000 8.6695
Na -4.0435 0.0000 5.3199
Li 5.7574 0.0000 2.8769
Li 5.2428 0.0000 7.7628
```

# 6
## BaNa10Li2 (PBE-GGA)

Data for a relaxed BaNa10Li2 crystal.

D(E_F) ... 5.85 states/eV/cell
Crystal system ... orthorhombic

The structure in extended XYZ format:
```
13
Lattice="0.0000 8.4062 8.5488 3.3118 0.0000 8.5488 3.3118 8.4062 0.0000" Properties=species:S:1:pos:R:3 pbc="T T T"
Ba 0.0000 0.0000 0.0000
Na 1.6559 0.0000 4.2744
Na 3.3118 3.0496 5.6618
Na 3.3118 6.5341 6.7868
Na 3.3118 3.0496 11.4358
Na 3.3118 6.5341 10.3107
Na 1.6559 8.4062 4.2744
Na 3.3118 10.2782 6.7868
Na 3.3118 13.7628 5.6618
Na 3.3118 10.2782 10.3107
Na 3.3118 13.7628 11.4358
Li 1.6559 4.2031 0.0000
Li 1.6559 4.2031 8.5488
```

no.,energy relative to the elements (kJ/mol of atoms),total energy (eV/f.u.),size of the total moment (μB per cell)
1,2,-19.81,0.000
2,114,-2.36,1.234
3,3,-15.77,0.000
4,4,-21.70,0.000
5,4,-16.30,0.000
6,2,-18.67,0.000